# LaRe2As GGA-PBE relaxed
# * formation energy: 134 kJ/mol of formula units
# * total energy: -99.24 eV/cell
data_LaRe2As
_chemical_formula_sum 'La3 Re6 As3'
_cell_length_a 3.0196
_cell_length_b 3.0196
_cell_length_c 28.5771
_cell_angle_alpha 90.00
_cell_angle_beta 90.00
_cell_angle_gamma 120.00
_space_group_name_H-M_alt 'R 3 m'
_space_group_IT_number 160
_space_group_name_Hall 'R 3 -2"'
loop_
_atom_site_label
_atom_site_type_symbol
_atom_site_fract_x
_atom_site_fract_y
_atom_site_fract_z
La1 La 0.0000 0.0000 0.0000
Re1 Re 0.0000 0.0000 0.2380
Re2 Re 0.0000 0.0000 0.5010
As1 As 0.0000 0.0000 0.7669

---

# Ac2ScTe5 GGA-PBE relaxed
# * total energy: -78.24 eV/cell
# * uncorrected formation energy: -1.108 eV per atom
data_Ac2ScTe5
_chemical_formula_sum 'Ac4 Sc2 Te10'
_cell_length_a 11.526
_cell_length_b 7.945
_cell_length_c 8.139
_cell_angle_alpha 90.00
_cell_angle_beta 130.93
_cell_angle_gamma 90.00
_space_group_name_H-M_alt 'C 1 m 1'
_space_group_IT_number 8
loop_
_space_group_symop_operation_xyz
'x,y,z'
'x,-y,z'
'x+1/2,y+1/2,z'
'x+1/2,-y+1/2,z'
loop_
_atom_site_label
_atom_site_type_symbol
_atom_site_fract_x
_atom_site_fract_y
_atom_site_fract_z
Ac1 Ac 0.000 0.000 0.000
Ac2 Ac 0.005 0.500 0.563
Sc1 Sc 0.260 0.000 0.825
Te1 Te 0.238 0.237 0.539
Te2 Te 0.265 0.263 0.062
Te3 Te 0.450 0.500 0.537

---

# TcNi2W GGA-PBE relaxed
# * formation energy: 12 kJ/mol of formula units
# * total energy: -69.51 eV/cell
data_TcNi2W
_chemical_formula_sum 'Tc2 Ni4 W2'
_cell_length_a 5.221
_cell_length_b 7.667
_cell_length_c 2.616
_cell_angle_alpha 90.00
_cell_angle_beta 90.29
_cell_angle_gamma 90.00
_space_group_name_H-M_alt 'C 1 2/m 1'
_space_group_IT_number 12
loop_
_space_group_symop_operation_xyz
'x,y,z'
'-x,-y,-z'
'-x,y,-z'
'x,-y,z'
'x+1/2,y+1/2,z'
'-x+1/2,-y+1/2,-z'
'-x+1/2,y+1/2,-z'
'x+1/2,-y+1/2,z'
loop_
_atom_site_label
_atom_site_type_symbol
_atom_site_fract_x
_atom_site_fract_y
_atom_site_fract_z
Tc1 Tc 0.000 0.000 0.000
Ni1 Ni 0.250 0.250 0.500
W1 W 0.000 0.500 0.000

---

# Sm2ZnOs GGA-PBE relaxed
# * formation energy: 115 kJ/mol of formula units
# * total energy: -62.24 eV/cell
data_Sm2ZnOs
_chemical_formula_sum 'Sm6 Zn3 Os3'
_cell_length_a 4.0793
_cell_length_b 4.0793
_cell_length_c 28.7053
_cell_angle_alpha 90.00
_cell_angle_beta 90.00
_cell_angle_gamma 120.00
_space_group_name_H-M_alt 'R -3 m'
_space_group_IT_number 166
_space_group_name_Hall '-R 3 2"'
loop_
_atom_site_label
_atom_site_type_symbol
_atom_site_fract_x
_atom_site_fract_y
_atom_site_fract_z
Sm1 Sm 0.0000 0.0000 0.1147
Zn1 Zn 0.0000 0.0000 0.0000
Os1 Os 0.0000 0.0000 0.5000

---

# Tl2CrMo GGA-PBE relaxed
# * formation energy: 320 kJ/mol of formula units
# * total energy: -43.75 eV/cell
data_Tl2CrMo
_chemical_formula_sum 'Tl4 Cr2 Mo2'
_cell_length_a 3.494
_cell_length_b 4.952
_cell_length_c 9.234
_cell_angle_alpha 90.00
_cell_angle_beta 90.00
_cell_angle_gamma 90.00
_space_group_name_H-M_alt 'I m m m'
_space_group_IT_number 71
_space_group_name_Hall '-I 2 2'
loop_
_atom_site_label
_atom_site_type_symbol
_atom_site_fract_x
_atom_site_fract_y
_atom_site_fract_z
Tl1 Tl 0.000 0.000 0.245
Cr1 Cr 0.000 0.500 0.500
Mo1 Mo 0.000 0.500 0.000

---

# KCo2HI GGA-PBE relaxed
# * total energy: -14.99 eV/cell
data_KCo2HI
_chemical_formula_sum 'K1 Co2 H1 I1'
_cell_length_a 4.681
_cell_length_b 4.681
_cell_length_c 7.521
_cell_angle_alpha 90.00
_cell_angle_beta 90.00
_cell_angle_gamma 90.00
_space_group_name_H-M_alt 'P 4/m m m'
_space_group_IT_number 123
_space_group_name_Hall '-P 4 2'
loop_
_atom_site_label
_atom_site_type_symbol
_atom_site_fract_x
_atom_site_fract_y
_atom_site_fract_z
K1 K 0.000 0.000 0.000
Co1 Co 0.000 0.500 0.500
H1 H 0.500 0.500 0.000
I1 I 0.000 0.000 0.500

---

# BaSr3Ir GGA-PBE relaxed
# * formation energy: -76 kJ/mol of formula units
# * total energy: -66.45 eV/cell
data_BaSr3Ir
_chemical_formula_sum 'Ba4 Sr12 Ir4'
_cell_length_a 13.250
_cell_length_b 9.802
_cell_length_c 9.053
_cell_angle_alpha 90.00
_cell_angle_beta 133.10
_cell_angle_gamma 90.00
_space_group_name_H-M_alt 'C 1 2 1'
_space_group_IT_number 5
loop_
_space_group_symop_operation_xyz
'x,y,z'
'-x,y,-z'
'x+1/2,y+1/2,z'
'-x+1/2,y+1/2,-z'
loop_
_atom_site_label
_atom_site_type_symbol
_atom_site_fract_x
_atom_site_fract_y
_atom_site_fract_z
Ba1 Ba 0.250 0.000 0.197
Sr1 Sr 0.050 0.197 0.361
Sr2 Sr 0.050 0.698 0.240
Sr3 Sr 0.249 0.400 0.194
Ir1 Ir 0.250 0.198 0.864

---

# FeReSi2 GGA-PBE relaxed
# * total energy: -64.59 eV/cell
# * uncorrected formation energy: -0.134 eV per atom
data_FeReSi2
_chemical_formula_sum 'Fe2 Re2 Si4'
_cell_length_a 7.769
_cell_length_b 2.681
_cell_length_c 4.927
_cell_angle_alpha 90.00
_cell_angle_beta 101.79
_cell_angle_gamma 90.00
_space_group_name_H-M_alt 'C 1 2/m 1'
_space_group_IT_number 12
loop_
_space_group_symop_operation_xyz
'x,y,z'
'-x,-y,-z'
'-x,y,-z'
'x,-y,z'
'x+1/2,y+1/2,z'
'-x+1/2,-y+1/2,-z'
'-x+1/2,y+1/2,-z'
'x+1/2,-y+1/2,z'
loop_
_atom_site_label
_atom_site_type_symbol
_atom_site_fract_x
_atom_site_fract_y
_atom_site_fract_z
Fe1 Fe 0.000 0.000 0.000
Re1 Re 0.000 0.500 0.500
Si1 Si 0.242 0.500 0.216

---

# Tl2InS GGA-PBE relaxed
# * total energy: -36.13 eV/cell
# * uncorrected formation energy: -0.111 eV per atom
data_Tl2InS
_chemical_formula_sum 'Tl6 In3 S3'
_cell_length_a 3.8324
_cell_length_b 3.8324
_cell_length_c 30.5250
_cell_angle_alpha 90.00
_cell_angle_beta 90.00
_cell_angle_gamma 120.00
_space_group_name_H-M_alt 'R -3 m'
_space_group_IT_number 166
_space_group_name_Hall '-R 3 2"'
loop_
_atom_site_label
_atom_site_type_symbol
_atom_site_fract_x
_atom_site_fract_y
_atom_site_fract_z
Tl1 Tl 0.0000 0.0000 0.1065
In1 In 0.0000 0.0000 0.0000
S1 S 0.0000 0.0000 0.5000

---

# YTm3Tl GGA-PBE relaxed
# * formation energy: -28 kJ/mol of formula units
# * total energy: -45.07 eV/cell
data_YTm3Tl
_chemical_formula_sum 'Y2 Tm6 Tl2'
_cell_length_a 5.294
_cell_length_b 8.406
_cell_length_c 6.792
_cell_angle_alpha 90.00
_cell_angle_beta 90.00
_cell_angle_gamma 90.00
_space_group_name_H-M_alt 'P m m n'
_space_group_IT_number 59
loop_
_space_group_symop_operation_xyz
'x,y,z'
'-x,-y,-z'
'-x+1/2,-y+1/2,z'
'x+1/2,y+1/2,-z'
'x+1/2,-y,-z'
'-x+1/2,y,z'
'-x,y+1/2,-z'
'x,-y+1/2,z'
loop_
_atom_site_label
_atom_site_type_symbol
_atom_site_fract_x
_atom_site_fract_y
_atom_site_fract_z
Y1 Y 0.250 0.250 0.208
Tm1 Tm 0.250 0.057 0.733
Tm2 Tm 0.250 0.750 0.065
Tl1 Tl 0.250 0.750 0.494

---

# TbTm2MgRh4 GGA-PBE relaxed
# * formation energy: -657 kJ/mol of formula units
# * total energy: -154.15 eV/cell
data_TbTm2MgRh4
_chemical_formula_sum 'Tb3 Tm6 Mg3 Rh12'
_cell_length_a 4.7098
_cell_length_b 4.7098
_cell_length_c 23.1523
_cell_angle_alpha 90.00
_cell_angle_beta 90.00
_cell_angle_gamma 120.00
_space_group_name_H-M_alt 'R -3 m'
_space_group_IT_number 166
_space_group_name_Hall '-R 3 2"'
loop_
_atom_site_label
_atom_site_type_symbol
_atom_site_fract_x
_atom_site_fract_y
_atom_site_fract_z
Tb1 Tb 0.0000 0.0000 0.0000
Tm1 Tm 0.0000 0.0000 0.2445
Mg1 Mg 0.0000 0.0000 0.5000
Rh1 Rh 0.0000 0.0000 0.1252
Rh2 Rh 0.0000 0.0000 0.3768

---

# Ta2Ga2As GGA-PBE relaxed
# * formation energy: -45 kJ/mol of formula units
# * total energy: -69.75 eV/cell
data_Ta2Ga2As
_chemical_formula_sum 'Ta4 Ga4 As2'
_cell_length_a 6.742
_cell_length_b 6.742
_cell_length_c 3.954
_cell_angle_alpha 90.00
_cell_angle_beta 90.00
_cell_angle_gamma 90.00
_space_group_name_H-M_alt 'P 4/m b m'
_space_group_IT_number 127
_space_group_name_Hall '-P 4 2ab'
loop_
_atom_site_label
_atom_site_type_symbol
_atom_site_fract_x
_atom_site_fract_y
_atom_site_fract_z
Ta1 Ta 0.149 0.351 0.000
Ga1 Ga 0.151 0.651 0.500
As1 As 0.000 0.000 0.000

---

Question: The lowest total energy belongs to which entry?
Answer: TbTm2MgRh4

---

Question: Among the records above, which one has the highest total energy?
Answer: KCo2HI

---

Question: Which of these has the highest total energy?
Answer: KCo2HI